SrLaZn2 | SCAN | PBEsol geometry

The space group is Pmm2 (No. 25) and the conventional cell measures 3.709, 5.329 and 5.329 Å, with angles of 90.00, 90.00 and 90.00 degrees. The distinct sites, in fractional coordinates, are Sr at (0.000, 0.000, 0.000), La at (0.000, 0.500, 0.498), Zn at (0.500, 0.000, 0.501) and Zn at (0.500, 0.500, 0.997).

Its electronic total energy is -23.39 eV/atom. As for the calculated volume: 105.32 Å³ per cell. For the formation enthalpy at 0 K, the calculation gives -290 meV/atom.



CrTeRh | SCAN | PBEsol geometry

The space group is I4mm (No. 107) and the conventional cell measures 3.560, 3.560 and 7.901 Å, with angles of 90.00, 90.00 and 90.00 degrees. The distinct sites, in fractional coordinates, are Cr at (0.000, 0.000, 0.000), Te at (0.000, 0.000, 0.326) and Rh at (0.000, 0.000, 0.651).

Its electronic total energy is -29.83 eV/atom. As for the calculated volume: 100.14 Å³ per cell.



LaZnPb2 | SCAN | PBEsol geometry

The space group is Pmmm (No. 47) and the conventional cell measures 3.518, 4.219 and 7.025 Å, with angles of 90.00, 90.00 and 90.00 degrees. The distinct sites, in fractional coordinates, are La at (0.000, 0.000, 0.000), Zn at (0.000, 0.000, 0.500) and Pb at (0.500, 0.500, 0.285).

Its electronic total energy is -52.32 eV/atom. As for the calculated volume: 104.26 Å³ per cell. For the formation enthalpy at 0 K, the calculation gives -270 meV/atom.



TaAg2Au | SCAN | PBEsol geometry

The space group is Pmm2 (No. 25) and the conventional cell measures 2.799, 4.037 and 5.959 Å, with angles of 90.00, 90.00 and 90.00 degrees. The distinct sites, in fractional coordinates, are Ta at (0.000, 0.000, 0.000), Ag at (0.000, 0.000, 0.503), Ag at (0.500, 0.500, 0.261) and Au at (0.500, 0.500, 0.773).

Its electronic total energy is -49.49 eV/atom. As for the calculated volume: 67.34 Å³ per cell. For the formation enthalpy at 0 K, the calculation gives 125 meV/atom.



ReHgTe2 | SCAN | PBEsol geometry

The space group is P4/mmm (No. 123) and the conventional cell measures 5.026, 5.026 and 3.353 Å, with angles of 90.00, 90.00 and 90.00 degrees. The distinct sites, in fractional coordinates, are Re at (0.000, 0.000, 0.000), Hg at (0.500, 0.500, 0.000) and Te at (0.000, 0.500, 0.500).

Its electronic total energy is -52.37 eV/atom. As for the calculated volume: 84.73 Å³ per cell.



ScTaOs2Se | SCAN | PBEsol geometry

The space group is P4/mmm (No. 123) and the conventional cell measures 4.731, 4.731 and 4.820 Å, with angles of 90.00, 90.00 and 90.00 degrees. The distinct sites, in fractional coordinates, are Sc at (0.000, 0.000, 0.000), Ta at (0.500, 0.500, 0.500), Os at (0.000, 0.500, 0.500) and Se at (0.500, 0.500, 0.000).

Its electronic total energy is -47.90 eV/atom. As for the calculated volume: 107.90 Å³ per cell.



Asked for D(E_F) across the records above, the calculation gives 0.65 0.71 0.70 0.52 0.85 0.85 states/eV per atom in order.